[1]
A plane-wave DFT calculation with GGA-PBE was carried out for BOsNO after structural relaxation.

Distance to the lowest polymorph of the same formula   151 meV/atom
Total magnetic moment   0.00 μB per formula unit

a b c (Å): 4.5964 2.6557 5.6076
angles (deg): 90.00 90.00 90.00
Sites, in units of the cell vectors:
B1 0.5163 0.0000 0.3984
B2 0.0163 0.0000 0.6016
N1 0.8538 0.0000 0.3681
N2 0.3538 0.0000 0.6319
O1 0.4082 0.5000 0.2767
O2 0.9082 0.5000 0.7233
Os1 0.9757 0.5000 0.1021
Os2 0.4757 0.5000 0.8979

---

[2]
A plane-wave DFT calculation with GGA-PBE was carried out for BOsNO after structural relaxation.

Distance to the lowest polymorph of the same formula   0 meV/atom
Total magnetic moment   0.00 μB per formula unit

a b c (Å): 2.6111 4.5963 5.7595
angles (deg): 90.00 90.00 90.00
Sites, in units of the cell vectors:
B1 0.5000 0.9949 0.1218
B2 0.5000 0.4949 0.8782
N1 0.0000 0.9146 0.2488
N2 0.0000 0.4146 0.7512
O1 0.5000 0.3340 0.1009
O2 0.5000 0.8340 0.8991
Os1 0.0000 0.5105 0.4110
Os2 0.0000 0.0105 0.5890

---

- Look up the distance to the lowest polymorph of the same formula of the second one.
  0 meV/atom